[1]
Below is a relaxed BaBe2Pt2 crystal, with properties calculated at the PBE level.

```
5
Lattice="1.420 -4.947 -3.521 2.259 -5.367 2.231 -4.554 4.148 0.967" Properties=species:S:1:pos:R:3 pbc="T T T"
Be -0.228 -3.188 1.277
Be -0.647 -2.978 -1.599
Pt 2.405 -6.744 -0.843
Pt 1.273 -3.569 -0.446
Ba 0.000 0.000 0.000
```

Calculated values
Its total energy is -4.844 eV per atom.


[2]
Below is a relaxed BaBeSnPt crystal, with properties calculated at the PBE level.

```
4
Lattice="-1.797 1.819 4.446 -1.218 4.963 0.436 -4.916 1.409 0.395" Properties=species:S:1:pos:R:3 pbc="T T T"
Sn 0.000 0.000 0.000
Be -5.948 6.144 3.958
Pt -3.965 4.096 2.639
Ba -1.983 2.048 1.319
```

Calculated values
Its total energy is -3.644 eV per atom.


[3]
Below is a relaxed BaBeSnPt crystal, with properties calculated at the PBE level.

```
4
Lattice="1.168 -4.854 0.864 -2.905 -3.684 -1.914 1.742 -2.897 -3.774" Properties=species:S:1:pos:R:3 pbc="T T T"
Ba 0.002 -5.717 -2.412
Be 0.004 -8.576 -3.618
Pt 0.001 -2.859 -1.206
Sn 0.000 0.000 0.000
```

Calculated values
Its total energy is -3.847 eV per atom.


[4]
Below is a relaxed BaPuBe crystal, with properties calculated at the PBE level.

```
3
Lattice="5.121 -0.655 0.822 1.660 -2.541 4.256 2.134 -4.750 -0.458" Properties=species:S:1:pos:R:3 pbc="T T T"
Pu 0.000 0.000 0.000
Be 2.229 -1.986 1.155
Ba 4.458 -3.973 2.310
```

Calculated values
Its total energy is -5.866 eV per atom.